[1]
Computed, not measured: crystalline TaF2 at its relaxed geometry at the GGA-PBE level of DFT.

Cell lengths 5.129, 5.129, 5.129 Å; angles 111.22, 111.22, 106.02 degrees
Atoms (fractional coordinates):
Ta1 0.193 0.193 0.000
Ta2 0.807 0.807 0.000
F1 0.000 0.000 0.500
F2 0.000 0.500 0.000
F3 0.500 0.000 0.000
F4 0.500 0.500 0.500

Properties
SG: No. 139
size of the total moment: 0.000 μB/cell
E_tot: -43.879 eV per cell
formation energy (no corrections): -2.11 eV per atom
distance to the lowest polymorph of the same formula: 34 meV per atom
volume: 103.58 Å³ per cell
density: 7.02 g/cm3



[2]
Computed, not measured: crystalline Tb4Er3Tl5 at its relaxed geometry at the GGA-PBE level of DFT.

Cell lengths 8.395, 8.395, 9.625 Å; angles 121.71, 121.71, 39.29 degrees
Atoms (fractional coordinates):
Tb1 0.066 0.066 0.428
Tb2 0.236 0.236 0.877
Tb3 0.764 0.764 0.123
Tb4 0.934 0.934 0.572
Er1 0.000 0.000 0.000
Er2 0.328 0.328 0.630
Er3 0.672 0.672 0.370
Tl1 0.232 0.232 0.251
Tl2 0.441 0.441 0.287
Tl3 0.500 0.500 0.000
Tl4 0.559 0.559 0.713
Tl5 0.768 0.768 0.749

Properties
SG: No. 12
size of the total moment: 0.000 μB/cell
E_tot: -44.405 eV per cell
calculated formation energy: -0.030 eV/atom
volume: 356.48 Å³ per cell
density: 10.06 g/cm3



Copy entry 2 word for word.
Computed, not measured: crystalline Tb4Er3Tl5 at its relaxed geometry at the GGA-PBE level of DFT.

Cell lengths 8.395, 8.395, 9.625 Å; angles 121.71, 121.71, 39.29 degrees
Atoms (fractional coordinates):
Tb1 0.066 0.066 0.428
Tb2 0.236 0.236 0.877
Tb3 0.764 0.764 0.123
Tb4 0.934 0.934 0.572
Er1 0.000 0.000 0.000
Er2 0.328 0.328 0.630
Er3 0.672 0.672 0.370
Tl1 0.232 0.232 0.251
Tl2 0.441 0.441 0.287
Tl3 0.500 0.500 0.000
Tl4 0.559 0.559 0.713
Tl5 0.768 0.768 0.749

Properties
SG: No. 12
size of the total moment: 0.000 μB/cell
E_tot: -44.405 eV per cell
calculated formation energy: -0.030 eV/atom
volume: 356.48 Å³ per cell
density: 10.06 g/cm3



Q: Which formula does entry 1 have?
A: TaF2